VASP calculation (PBE) on an optimized crystal structure of SrSe2S.

formation energy (no corrections): -0.970 eV per atom

a b c (Å): 5.5499 7.9186 10.5220
angles (deg): 90.00 92.10 90.00
Last column: nearest neighbours and their distance in Å.
Positions (direct):
Sr  0.1843  0.0000  0.1848  4 S 3.05-3.38, 4 Se 3.08-3.28
Sr  0.3157  0.5000  0.8152  4 S 3.05-3.38, 4 Se 3.08-3.28
Sr  0.6843  0.5000  0.1848  4 S 3.05-3.38, 4 Se 3.08-3.28
Sr  0.8157  0.0000  0.8152  4 S 3.05-3.38, 4 Se 3.08-3.28
Se  0.1793  0.6251  0.2871  1 Se 2.43
Se  0.2017  0.8199  0.4659  2 Se 2.38-2.43
Se  0.2983  0.3199  0.5341  2 Se 2.38-2.43
Se  0.3207  0.1251  0.7129  1 Se 2.43
Se  0.6793  0.1251  0.2871  1 Se 2.43
Se  0.7017  0.3199  0.4659  2 Se 2.38-2.43
Se  0.7983  0.8199  0.5341  2 Se 2.38-2.43
Se  0.8207  0.6251  0.7129  1 Se 2.43
S  0.1487  0.3548  0.0662  1 S 2.12
S  0.3513  0.8548  0.9338  1 S 2.12
S  0.6487  0.8548  0.0662  1 S 2.12
S  0.8513  0.3548  0.9338  1 S 2.12

VASP calculation (PBE) on an optimized crystal structure of SrSeS2.

formation energy (no corrections): -0.978 eV per atom

a b c (Å): 8.3077 7.6243 8.8988
angles (deg): 90.00 122.22 90.00
Last column: nearest neighbours and their distance in Å.
Positions (direct):
Sr  0.2493  0.1322  0.2511  6 S 2.99-3.07
Sr  0.2493  0.3678  0.7511  6 S 2.99-3.07
Sr  0.7507  0.6322  0.2489  6 S 2.99-3.07
Sr  0.7507  0.8678  0.7489  6 S 2.99-3.07
Se  0.2514  0.6259  0.2469  2 S 2.25
Se  0.2514  0.8741  0.7469  2 S 2.25
Se  0.7486  0.1259  0.2531  2 S 2.25
Se  0.7486  0.3741  0.7531  2 S 2.25
S  0.0038  0.6899  0.6518  1 Se 2.25
S  0.0038  0.8101  0.1518  1 Se 2.25
S  0.4978  0.6876  0.8453  1 Se 2.25
S  0.4978  0.8124  0.3453  1 Se 2.25
S  0.5022  0.1876  0.6547  1 Se 2.25
S  0.5022  0.3124  0.1547  1 Se 2.25
S  0.9962  0.1899  0.8482  1 Se 2.25
S  0.9962  0.3101  0.3482  1 Se 2.25

VASP calculation (PBE) on an optimized crystal structure of SrSe2S.

formation energy (no corrections): -0.973 eV per atom

a b c (Å): 4.9095 4.9647 10.1350
angles (deg): 80.41 81.08 70.48
Last column: nearest neighbours and their distance in Å.
Positions (direct):
Sr  0.0000  0.0000  0.0000  6 Se 3.06-3.31, 1 S 3.11
Sr  0.4500  0.4381  0.3759  5 S 3.01-3.13, 2 Se 3.12-3.34
Se  0.1901  0.2796  0.6937  2 Se 2.39-2.61
Se  0.4305  0.4518  0.8620  3 Se 2.61-2.75
Se  0.6179  0.6077  0.0713  1 Se 2.75, 1 Sr 3.06
Se  0.7501  0.6708  0.6697  2 Se 2.39-2.63, 1 S 2.62
S  0.8368  0.8271  0.3041  1 S 2.14
S  0.9748  0.9583  0.4659  1 S 2.14

VASP calculation (PBE) on an optimized crystal structure of Sr2SeS6.

formation energy (no corrections): -0.843 eV per atom

a b c (Å): 4.8811 5.6334 9.2728
angles (deg): 93.60 97.68 108.76
Last column: nearest neighbours and their distance in Å.
Positions (direct):
Sr  0.1607  0.0936  0.2791  7 S 2.95-3.27
Sr  0.8393  0.9064  0.7209  7 S 2.95-3.27
Se  0.5000  0.5000  0.0000  4 S 2.49-2.62
S  0.2965  0.4354  0.7191  1 S 2.09
S  0.3004  0.8554  0.9975  1 S 2.09
S  0.3874  0.1424  0.6069  1 S 2.09
S  0.6126  0.8576  0.3931  1 S 2.09
S  0.6996  0.1446  0.0025  1 S 2.09
S  0.7035  0.5646  0.2809  1 S 2.09

VASP calculation (PBE) on an optimized crystal structure of SrSeS3.

formation energy (no corrections): 0.754 eV per atom
energy relative to the lowest polymorph listed for this composition: 1.5104 eV per atom

a b c (Å): 5.5224 5.5224 5.5224
angles (deg): 90.00 90.00 90.00
Last column: nearest neighbours and their distance in Å.
Positions (direct):
Sr  0.0000  0.0000  0.0000  6 S 2.76
Se  0.5000  0.5000  0.5000  12 S 3.90
S  0.0000  0.0000  0.5000  2 Sr 2.76
S  0.0000  0.5000  0.0000  2 Sr 2.76
S  0.5000  0.0000  0.0000  2 Sr 2.76

VASP calculation (PBE) on an optimized crystal structure of SrSe2S.

formation energy (no corrections): -0.520 eV per atom

a b c (Å): 4.9127 4.9127 22.1859
angles (deg): 90.00 90.00 120.00
Last column: nearest neighbours and their distance in Å.
Positions (direct):
Sr  0.0000  0.0000  0.0000  6 Se 3.13
Sr  0.3333  0.6667  0.6667  6 Se 3.13
Sr  0.6667  0.3333  0.3333  6 Se 3.13
Se  0.0000  0.0000  0.3934  1 S 2.37
Se  0.0000  0.0000  0.6066  1 S 2.37
Se  0.3333  0.6667  0.0601  1 S 2.37
Se  0.3333  0.6667  0.2733  1 S 2.37
Se  0.6667  0.3333  0.7267  1 S 2.37
Se  0.6667  0.3333  0.9399  1 S 2.37
S  0.0000  0.0000  0.5000  2 Se 2.37
S  0.3333  0.6667  0.1667  2 Se 2.37
S  0.6667  0.3333  0.8333  2 Se 2.37

VASP calculation (PBE) on an optimized crystal structure of SrSeS2.

formation energy (no corrections): -0.652 eV per atom

a b c (Å): 4.6054 4.6054 22.6719
angles (deg): 90.00 90.00 120.00
Last column: nearest neighbours and their distance in Å.
Positions (direct):
Sr  0.0000  0.0000  0.0000  6 S 3.01
Sr  0.3333  0.6667  0.6667  6 S 3.01
Sr  0.6667  0.3333  0.3333  6 S 3.01
Se  0.0000  0.0000  0.5000  2 S 2.37
Se  0.3333  0.6667  0.1667  2 S 2.37
Se  0.6667  0.3333  0.8333  2 S 2.37
S  0.0000  0.0000  0.3957  1 Se 2.37
S  0.0000  0.0000  0.6043  1 Se 2.37
S  0.3333  0.6667  0.0624  1 Se 2.37
S  0.3333  0.6667  0.2710  1 Se 2.37
S  0.6667  0.3333  0.7290  1 Se 2.37
S  0.6667  0.3333  0.9376  1 Se 2.37

VASP calculation (PBE) on an optimized crystal structure of SrSeS4.

formation energy (no corrections): -0.415 eV per atom

a b c (Å): 7.9922 7.9922 6.2383
angles (deg): 93.75 93.75 128.69
Last column: nearest neighbours and their distance in Å.
Positions (direct):
Sr  0.1470  0.8530  0.7500  4 S 3.01
Sr  0.8530  0.1470  0.2500  4 S 3.01
Se  0.4508  0.5492  0.2500  4 S 2.33-2.55
Se  0.5492  0.4508  0.7500  4 S 2.33-2.55
S  0.1741  0.6309  0.3625  1 S 2.09
S  0.2294  0.3175  0.8884  2 Se 2.33-2.55
S  0.3175  0.2294  0.3884  2 Se 2.33-2.55
S  0.3691  0.8259  0.1375  1 S 2.09
S  0.6309  0.1741  0.8625  1 S 2.09
S  0.6825  0.7706  0.6116  2 Se 2.33-2.55
S  0.7706  0.6825  0.1116  2 Se 2.33-2.55
S  0.8259  0.3691  0.6375  1 S 2.09

VASP calculation (PBE) on an optimized crystal structure of Sr4SeS3.

formation energy (no corrections): -2.120 eV per atom
energy relative to the lowest polymorph listed for this composition: 0.0056 eV per atom

a b c (Å): 6.1280 6.1280 6.1280
angles (deg): 90.00 90.00 90.00
Last column: nearest neighbours and their distance in Å.
Positions (direct):
Sr  0.0000  0.0000  0.0000  6 S 3.06
Sr  0.0000  0.5000  0.5000  4 S 3.06, 2 Se 3.06
Sr  0.5000  0.0000  0.5000  4 S 3.06, 2 Se 3.06
Sr  0.5000  0.5000  0.0000  4 S 3.06, 2 Se 3.06
Se  0.5000  0.5000  0.5000  6 Sr 3.06
S  0.0000  0.0000  0.5000  6 Sr 3.06
S  0.0000  0.5000  0.0000  6 Sr 3.06
S  0.5000  0.0000  0.0000  6 Sr 3.06

VASP calculation (PBE) on an optimized crystal structure of SrSe2S.

formation energy (no corrections): -0.563 eV per atom

a b c (Å): 5.8455 5.8455 15.1702
angles (deg): 90.00 90.00 90.00
Last column: nearest neighbours and their distance in Å.
Positions (direct):
Sr  0.0000  0.0000  0.0000  4 Se 3.12
Sr  0.0000  0.5000  0.2500  4 Se 3.12
Sr  0.5000  0.0000  0.7500  4 Se 3.12
Sr  0.5000  0.5000  0.5000  4 Se 3.12
Se  0.1566  0.2500  0.6250  2 S 2.56
Se  0.2500  0.6566  0.8750  2 S 2.56
Se  0.2500  0.8434  0.3750  2 S 2.56
Se  0.3434  0.2500  0.1250  2 S 2.56
Se  0.6566  0.7500  0.1250  2 S 2.56
Se  0.7500  0.1566  0.3750  2 S 2.56
Se  0.7500  0.3434  0.8750  2 S 2.56
Se  0.8434  0.7500  0.6250  2 S 2.56
S  0.0000  0.0000  0.5000  4 Se 2.56
S  0.0000  0.5000  0.7500  4 Se 2.56
S  0.5000  0.0000  0.2500  4 Se 2.56
S  0.5000  0.5000  0.0000  4 Se 2.56

| no. | total moment (μB per formula unit) | raw total energy (eV per atom) |
| --- | --- | --- |
| 1 | 0.0 | -4.16 |
| 2 | 0.0 | -4.33 |
| 3 | 0.0 | -4.17 |
| 4 | 0.0 | -4.36 |
| 5 | 0.0 | -2.76 |
| 6 | 1.9 | -3.71 |
| 7 | 1.9 | -4.01 |
| 8 | 0.0 | -4.03 |
| 9 | 0.0 | -4.94 |
| 10 | 0.0 | -3.76 |